PBE Sr2HgPdAu6, optimized geometry; magnetic moment = 0.00 μB per cell; uncorrected energy = -30.130 eV per cell; N(E_F) = 3.48 states/eV/cell; crystal system = cubic
1.0
7.348 0.000 0.000
0.000 7.348 0.000
3.674 3.674 5.196
Sr Hg Pd Au
2 1 1 6
Direct
0.250 0.750 0.500
0.750 0.250 0.500
0.500 0.500 0.000
0.000 0.000 0.000
0.245 0.755 0.000
0.755 0.755 0.000
0.245 0.245 0.509
0.755 0.245 0.000
0.245 0.245 0.000
0.755 0.755 0.491


PBE SrPBr2, optimized geometry; uncorrected formation energy = -0.6732 eV per atom; magnetic moment = 0.00 μB per cell; N(E_F) = 2.88 states/eV/cell; crystal system = tetragonal
1.0
-3.001 5.633 -2.064
-6.501 1.546 0.581
5.290 -2.326 3.407
Br P Sr
2 1 1
Direct
0.000 0.000 0.000
0.250 0.750 0.500
0.500 0.500 0.000
0.750 0.250 0.500


PBE HoTl2SnS4, optimized geometry; uncorrected formation energy = -0.9161 eV per atom; magnetic moment = 0.00 μB per cell; N(E_F) = 3.30 states/eV/cell; crystal system = monoclinic
1.0
3.958 0.000 0.000
0.000 7.816 -0.470
0.000 2.437 6.588
Ho Tl Sn S
1 2 1 4
Direct
0.000 0.500 0.500
0.000 0.000 0.000
0.500 0.000 0.500
0.500 0.500 0.000
0.000 0.700 0.765
0.000 0.300 0.235
0.500 0.696 0.268
0.500 0.304 0.732


PBE PrDy6Th8, optimized geometry; magnetic moment = 0.00 μB per cell; uncorrected energy = -89.646 eV per cell; N(E_F) = 26.31 states/eV/cell; crystal system = trigonal
1.0
7.658 0.000 4.410
2.559 7.217 4.410
0.019 0.013 8.821
Pr Dy Th
1 6 8
Direct
0.000 0.000 0.000
0.068 0.532 0.126
0.727 0.932 0.874
0.468 0.727 0.874
0.532 0.273 0.126
0.273 0.068 0.126
0.932 0.468 0.874
0.879 0.337 0.591
0.808 0.121 0.409
0.663 0.808 0.409
0.423 0.423 0.732
0.577 0.577 0.268
0.337 0.192 0.591
0.192 0.879 0.591
0.121 0.663 0.409


PBE TaOsSeBr2, optimized geometry; uncorrected formation energy = 1.0312 eV per atom; magnetic moment = 1.44 μB per cell; N(E_F) = 4.78 states/eV/cell; crystal system = tetragonal
1.0
4.942 0.000 0.000
0.000 5.187 0.000
0.000 0.000 4.942
Os Se Br Ta
1 1 2 1
Direct
0.000 0.500 0.000
0.500 0.500 0.500
0.000 0.000 0.500
0.500 0.000 0.000
0.000 0.000 0.000


PBE Be2MoSe, optimized geometry; uncorrected formation energy = 0.1223 eV per atom; magnetic moment = 0.00 μB per cell; N(E_F) = 1.98 states/eV/cell; crystal system = tetragonal
1.0
3.228 0.000 0.000
0.000 3.229 0.000
0.000 0.000 4.888
Be Mo Se
2 1 1
Direct
0.000 0.000 0.028
0.000 0.000 0.472
0.500 0.500 0.250
0.500 0.500 0.750


Question: Which value of N(E_F) does entry 1 give?
Answer: 3.48 states/eV/cell